{"formula": "Sc2UO6", "functional": "GGA-PBE", "state": "relaxed", "formation_energy_uncorrected_mev_per_atom": -3366, "relative_energy_ev_per_atom": 0.000, "spacegroup": "P4_2/mnm, No. 136", "lattice": [[4.905, 0.000, 0.000], [0.000, 4.905, 0.000], [0.000, 0.000, 9.857]], "species": ["Sc", "Sc", "Sc", "Sc", "U", "U", "O", "O", "O", "O", "O", "O", "O", "O", "O", "O", "O", "O"], "frac_coords": [[0.000, 0.000, 0.165], [0.000, 0.000, 0.835], [0.500, 0.500, 0.335], [0.500, 0.500, 0.665], [0.000, 0.000, 0.500], [0.500, 0.500, 0.000], [0.190, 0.190, 0.336], [0.190, 0.190, 0.664], [0.195, 0.195, 0.000], [0.305, 0.695, 0.500], [0.310, 0.690, 0.164], [0.310, 0.690, 0.836], [0.690, 0.310, 0.164], [0.690, 0.310, 0.836], [0.695, 0.305, 0.500], [0.805, 0.805, 0.000], [0.810, 0.810, 0.336], [0.810, 0.810, 0.664]]}